No. 1
A geometry-optimized Li5Mn4O8 structure. Source: Alexandria via LeMat-Bulk, functional GGA+U.

abc: 5.7958 6.3038 10.3774
angles: 86.23 80.96 65.56
Space group P-1 (No. 2)
Unique sites:
Li 0.0232 0.0833 0.4105 [2 per cell]
Li 0.2079 0.7060 0.7881 [2 per cell]
Li 0.2381 0.7137 0.2749 [2 per cell]
Li 0.3218 0.1862 0.2541 [2 per cell]
Li 0.4345 0.4307 0.0849 [2 per cell]
Mn 0.0000 0.0000 0.0000 [1 per cell]
Mn 0.0000 0.5000 0.0000 [1 per cell]
Mn 0.0000 0.5000 0.5000 [1 per cell]
Mn 0.2520 0.2426 0.7524 [2 per cell]
Mn 0.5000 0.0000 0.0000 [1 per cell]
Mn 0.5000 0.0000 0.5000 [1 per cell]
Mn 0.5000 0.5000 0.5000 [1 per cell]
O 0.0939 0.6559 0.1272 [2 per cell]
O 0.1428 0.1277 0.5900 [2 per cell]
O 0.1605 0.1394 0.1089 [2 per cell]
O 0.1743 0.5935 0.6206 [2 per cell]
O 0.3310 0.4017 0.3847 [2 per cell]
O 0.3466 0.4059 0.8991 [2 per cell]
O 0.3580 0.8918 0.8731 [2 per cell]
O 0.3869 0.8883 0.3630 [2 per cell]

Results
* offset from the most stable computed form: 0.000 eV per atom
* calculated volume: 341 Å³/cell



No. 2
A geometry-optimized Li5Mn3O8 structure. Source: Alexandria via LeMat-Bulk, functional GGA+U.

abc: 5.0260 5.0805 5.7935
angles: 73.27 89.95 79.97
Space group P-1 (No. 2)
Unique sites:
Li 0.0000 0.0000 0.0000 [1 per cell]
Li 0.2295 0.4884 0.8806 [2 per cell]
Li 0.2393 0.5023 0.3703 [2 per cell]
Mn 0.0000 0.0000 0.5000 [1 per cell]
Mn 0.5005 0.0011 0.2458 [2 per cell]
O 0.1414 0.2284 0.2037 [2 per cell]
O 0.1423 0.2253 0.6821 [2 per cell]
O 0.3778 0.7793 0.5546 [2 per cell]
O 0.3968 0.7749 0.0579 [2 per cell]

Results
* offset from the most stable computed form: 0.061 eV per atom
* calculated volume: 139 Å³/cell



No. 3
A geometry-optimized LiMnO2 structure. Source: Alexandria via LeMat-Bulk, functional GGA+U.

abc: 5.1361 5.1714 6.6991
angles: 105.06 104.32 108.41
Space group P-1 (No. 2)
Unique sites:
Li 0.0602 0.3148 0.1342 [2 per cell]
Li 0.3380 0.5729 0.6273 [2 per cell]
Mn 0.1851 0.9269 0.3712 [2 per cell]
Mn 0.4456 0.2000 0.8806 [2 per cell]
O 0.0838 0.8652 0.6355 [2 per cell]
O 0.2248 0.4488 0.8830 [2 per cell]
O 0.3101 0.0283 0.1320 [2 per cell]
O 0.4099 0.6896 0.3775 [2 per cell]

Results
* VASP energy: -6.617 eV per atom
* calculated volume: 152 Å³/cell



No. 4
A geometry-optimized Li7Mn5O12 structure. Source: Alexandria via LeMat-Bulk, functional GGA+U.

abc: 5.8835 2.8931 12.7169
angles: 90.00 102.91 90.00
Space group P2/m (No. 10)
Unique sites:
Li 0.0000 0.0000 0.0000 [1 per cell]
Li 0.0000 0.5000 0.5000 [1 per cell]
Li 0.1676 0.0000 0.3325 [2 per cell]
Li 0.3172 0.5000 0.1498 [2 per cell]
Li 0.5000 0.0000 0.0000 [1 per cell]
Mn 0.1668 0.5000 0.8406 [2 per cell]
Mn 0.3339 0.0000 0.6677 [2 per cell]
Mn 0.5000 0.5000 0.5000 [1 per cell]
O 0.0556 0.0000 0.1677 [2 per cell]
O 0.1069 0.5000 0.6746 [2 per cell]
O 0.2449 0.5000 0.9869 [2 per cell]
O 0.2689 0.0000 0.5054 [2 per cell]
O 0.3937 0.0000 0.8297 [2 per cell]
O 0.4391 0.5000 0.3381 [2 per cell]

Results
* offset from the most stable computed form: 0.200 eV per atom
* calculated volume: 211 Å³/cell



No. 5
A geometry-optimized Li2MnO2 structure. Source: Alexandria via LeMat-Bulk, functional GGA+U.

abc: 3.0572 3.6529 10.0246
angles: 90.00 90.00 90.00
Space group Immm (No. 71)
Unique sites:
Li 0.0000 0.0000 0.2229 [4 per cell]
Mn 0.0000 0.0000 0.5000 [2 per cell]
O 0.0000 0.5000 0.1464 [4 per cell]

Results
* offset from the most stable computed form: 0.051 eV per atom
* calculated volume: 112 Å³/cell



No. 6
A geometry-optimized Li5Mn3O8 structure. Source: Alexandria via LeMat-Bulk, functional GGA+U.

abc: 10.0536 5.9207 10.1145
angles: 90.00 108.38 90.00
Space group C2/c (No. 15)
Unique sites:
Li 0.0000 0.2383 0.2500 [4 per cell]
Li 0.0000 0.2550 0.7500 [4 per cell]
Li 0.2476 0.0237 0.7412 [8 per cell]
Li 0.2500 0.2500 0.5000 [4 per cell]
Mn 0.0000 0.0000 0.0000 [4 per cell]
Mn 0.0000 0.5000 0.0000 [4 per cell]
Mn 0.2500 0.2500 0.0000 [4 per cell]
O 0.1081 0.2463 0.6069 [8 per cell]
O 0.1268 0.0170 0.8886 [8 per cell]
O 0.1283 0.4833 0.8896 [8 per cell]
O 0.1297 0.2221 0.1194 [8 per cell]

Results
* offset from the most stable computed form: 0.015 eV per atom
* calculated volume: 571 Å³/cell



No. 7
A geometry-optimized LiMnO2 structure. Source: Alexandria via LeMat-Bulk, functional GGA+U.

abc: 5.2371 5.2371 5.2371
angles: 90.00 90.00 90.00
Space group Fm-3m (No. 225)
Unique sites:
Li 0.0000 0.0000 0.0000 [4 per cell]
Mn 0.0000 0.0000 0.5000 [4 per cell]
O 0.2500 0.2500 0.2500 [8 per cell]

Results
* VASP energy: -6.071 eV per atom
* calculated volume: 144 Å³/cell



No. 8
A geometry-optimized Li3MnO structure. Source: Alexandria via LeMat-Bulk, functional GGA+U.

abc: 4.0673 4.0673 4.0673
angles: 90.00 90.00 90.00
Space group Pm-3m (No. 221)
Unique sites:
Li 0.0000 0.0000 0.5000 [3 per cell]
Mn 0.5000 0.5000 0.5000 [1 per cell]
O 0.0000 0.0000 0.0000 [1 per cell]

Results
* offset from the most stable computed form: 0.000 eV per atom
* calculated volume: 67 Å³/cell



No. 9
A geometry-optimized Li3Mn5O8 structure. Source: Alexandria via LeMat-Bulk, functional GGA+U.

abc: 6.0085 6.0085 14.9564
angles: 90.00 90.00 120.00
Space group R-3m (No. 166, hexagonal axes)
Unique sites:
Li 0.0000 0.5000 0.0000 [9 per cell]
Mn 0.0000 0.0000 0.0000 [3 per cell]
Mn 0.0000 0.0000 0.5000 [3 per cell]
Mn 0.0000 0.5000 0.5000 [9 per cell]
O 0.0000 0.0000 0.2387 [6 per cell]
O 0.0139 0.5069 0.7574 [18 per cell]

Results
* VASP energy: -6.675 eV per atom
* calculated volume: 468 Å³/cell



No. 10
A geometry-optimized Li7Mn5O12 structure. Source: Alexandria via LeMat-Bulk, functional GGA+U.

abc: 2.9620 6.4755 12.0669
angles: 102.61 94.08 102.48
Space group P-1 (No. 2)
Unique sites:
Li 0.0000 0.0000 0.0000 [1 per cell]
Li 0.0736 0.0026 0.2345 [2 per cell]
Li 0.3614 0.6666 0.5752 [2 per cell]
Li 0.3633 0.6860 0.0849 [2 per cell]
Mn 0.0000 0.0000 0.5000 [1 per cell]
Mn 0.2981 0.6744 0.8411 [2 per cell]
Mn 0.3615 0.6723 0.3311 [2 per cell]
O 0.1115 0.3420 0.7907 [2 per cell]
O 0.1755 0.3255 0.5453 [2 per cell]
O 0.1808 0.3382 0.0559 [2 per cell]
O 0.2408 0.3472 0.2742 [2 per cell]
O 0.4486 0.9724 0.8709 [2 per cell]
O 0.4769 0.9935 0.3878 [2 per cell]

Results
* offset from the most stable computed form: 0.068 eV per atom
* calculated volume: 219 Å³/cell



No. 11
A geometry-optimized Li7Mn5O12 structure. Source: Alexandria via LeMat-Bulk, functional GGA+U.

abc: 5.1468 8.8427 9.7029
angles: 90.00 100.04 90.00
Space group C2 (No. 5)
Unique sites:
Li 0.0000 0.0000 0.0000 [2 per cell]
Li 0.0000 0.1822 0.5000 [2 per cell]
Li 0.0000 0.6636 0.0000 [2 per cell]
Li 0.2404 0.5086 0.2356 [4 per cell]
Li 0.2399 0.8378 0.2347 [4 per cell]
Mn 0.0000 0.3412 0.0000 [2 per cell]
Mn 0.0000 0.5111 0.5000 [2 per cell]
Mn 0.0000 0.8524 0.5000 [2 per cell]
Mn 0.2491 0.1664 0.2396 [4 per cell]
O 0.0931 0.6723 0.3746 [4 per cell]
O 0.0942 0.1784 0.8701 [4 per cell]
O 0.1217 0.4937 0.8833 [4 per cell]
O 0.1480 0.3558 0.3930 [4 per cell]
O 0.1549 0.0145 0.3787 [4 per cell]
O 0.1545 0.8261 0.8770 [4 per cell]

Results
* offset from the most stable computed form: 0.002 eV per atom
* calculated volume: 435 Å³/cell



No. 12
A geometry-optimized Li3Mn8O16 structure. Source: Alexandria via LeMat-Bulk, functional GGA+U.

abc: 5.8437 5.8437 8.7115
angles: 90.00 90.00 90.00
Space group P-4m2 (No. 115)
Unique sites:
Li 0.0000 0.0000 0.0000 [1 per cell]
Li 0.0000 0.5000 0.7445 [2 per cell]
Mn 0.0000 0.2488 0.3707 [4 per cell]
Mn 0.2467 0.5000 0.1201 [4 per cell]
O 0.0000 0.2229 0.6164 [4 per cell]
O 0.0000 0.2818 0.1201 [4 per cell]
O 0.2228 0.5000 0.3391 [4 per cell]
O 0.2779 0.5000 0.8920 [4 per cell]

Results
* VASP energy: -6.931 eV per atom
* calculated volume: 297 Å³/cell



No. 13
A geometry-optimized LiMnO2 structure. Source: Alexandria via LeMat-Bulk, functional GGA+U.

abc: 4.2037 4.2037 8.4886
angles: 90.00 90.00 90.00
Space group I4_1/amd (No. 141, origin choice 2)
Unique sites:
Li 0.0000 0.2500 0.3750 [4 per cell]
Mn 0.0000 0.2500 0.8750 [4 per cell]
O 0.0000 0.2500 0.1058 [8 per cell]

Results
* VASP energy: -6.620 eV per atom
* calculated volume: 150 Å³/cell



No. 14
A geometry-optimized Li8Mn5O10 structure. Source: Alexandria via LeMat-Bulk, functional GGA+U.

abc: 5.2203 5.4797 8.4534
angles: 105.70 92.41 92.14
Space group P1 (No. 1)
Unique sites:
Li 0.0000 0.0000 0.0000 [1 per cell]
Li 0.0021 0.1784 0.4134 [1 per cell]
Li 0.1736 0.0552 0.7353 [1 per cell]
Li 0.2109 0.6536 0.0387 [1 per cell]
Li 0.2188 0.8172 0.3947 [1 per cell]
Li 0.2325 0.4856 0.6097 [1 per cell]
Li 0.2472 0.2750 0.2204 [1 per cell]
Li 0.9708 0.4226 0.8155 [1 per cell]
Mn 0.5828 0.7447 0.8218 [1 per cell]
Mn 0.6117 0.3325 0.0097 [1 per cell]
Mn 0.6196 0.1156 0.6027 [1 per cell]
Mn 0.6392 0.9079 0.2054 [1 per cell]
Mn 0.6626 0.5263 0.4104 [1 per cell]
O 0.3402 0.4088 0.8192 [1 per cell]
O 0.3754 0.1999 0.4336 [1 per cell]
O 0.3822 0.9925 0.0418 [1 per cell]
O 0.3957 0.8158 0.6072 [1 per cell]
O 0.4148 0.6043 0.2168 [1 per cell]
O 0.8230 0.0807 0.8036 [1 per cell]
O 0.8456 0.8660 0.3959 [1 per cell]
O 0.8473 0.6680 0.9961 [1 per cell]
O 0.8506 0.4045 0.5981 [1 per cell]
O 0.8566 0.2143 0.2058 [1 per cell]

Results
* VASP energy: -6.182 eV per atom
* calculated volume: 232 Å³/cell



No. 15
A geometry-optimized Li5Mn3O8 structure. Source: Alexandria via LeMat-Bulk, functional GGA+U.

abc: 9.7671 2.9024 10.1134
angles: 90.00 100.82 90.00
Space group C2/m (No. 12)
Unique sites:
Li 0.0000 0.0000 0.0000 [2 per cell]
Li 0.2448 0.0000 0.3761 [4 per cell]
Li 0.2455 0.5000 0.1098 [4 per cell]
Mn 0.0000 0.0000 0.5000 [2 per cell]
Mn 0.0060 0.5000 0.7585 [4 per cell]
O 0.1074 0.0000 0.1973 [4 per cell]
O 0.1100 0.5000 0.4354 [4 per cell]
O 0.1113 0.0000 0.6855 [4 per cell]
O 0.1215 0.5000 0.9215 [4 per cell]

Results
* offset from the most stable computed form: 0.089 eV per atom
* calculated volume: 282 Å³/cell